Version a
TiCrPb2 (GGA-PBE, optimized geometry); Fermi-level density of states = 5.15 states/eV per cell
1.0
-3.856 3.856 3.111
3.856 -3.856 3.111
3.856 3.856 -3.111
Ti Cr Pb
2 2 4
Cartesian
0.000 0.000 0.000 Ti
0.000 3.856 1.556 Ti
3.856 0.000 1.556 Cr
0.000 0.000 3.111 Cr
1.928 -1.854 2.333 Pb
2.001 1.928 0.778 Pb
1.928 5.710 -0.778 Pb
1.854 1.928 3.889 Pb

***

Version b
TiCrPb2 (GGA-PBE, optimized geometry); Fermi-level density of states = 3.32 states/eV per cell
1.0
0.000 3.393 3.393
3.393 0.000 3.393
3.393 3.393 0.000
Ti Cr Pb
1 1 2
Cartesian
0.000 0.000 0.000 Ti
3.393 3.393 3.393 Cr
1.697 1.697 1.697 Pb
5.090 5.090 5.090 Pb

***

Looking at the structures above, version a is most stable, and the difference to the next one is 0.045 eV/atom.